Entry 1:
{"formula": "SrPr2Br8", "functional": "PBE", "state": "relaxed", "lattice": [[11.458, -2.137, 0.000], [11.458, 2.137, 0.000], [-1.023, 0.000, 8.460]], "species": ["Sr", "Pr", "Pr", "Br", "Br", "Br", "Br", "Br", "Br", "Br", "Br"], "fractional_positions": [[0.000, 0.000, 0.000], [0.340, 0.340, 0.661], [0.660, 0.660, 0.339], [0.115, 0.115, 0.529], [0.136, 0.136, 0.070], [0.258, 0.258, 0.333], [0.478, 0.478, 0.750], [0.522, 0.522, 0.250], [0.742, 0.742, 0.667], [0.864, 0.864, 0.930], [0.885, 0.885, 0.471]], "magmom_total_mub_per_cell": 0.00, "vol_a3_per_atom": 37.662, "raw_formation_energy_ev_per_atom": -1.929, "spacegroup": "No. 12"}

---

Entry 2:
{"formula": "ScTc4Ni", "functional": "PBE", "state": "relaxed", "lattice": [[0.000, 3.634, 3.634], [3.634, 0.000, 3.634], [3.634, 3.634, 0.000]], "species": ["Sc", "Tc", "Tc", "Tc", "Tc", "Ni"], "fractional_positions": [[0.000, 0.000, 0.000], [0.376, 0.376, 0.376], [0.376, 0.376, 0.873], [0.376, 0.873, 0.376], [0.873, 0.376, 0.376], [0.750, 0.750, 0.750]], "magmom_total_mub_per_cell": 0.00, "vol_a3_per_atom": 15.999, "total_energy_ev_per_cell": -52.62, "spacegroup": "No. 216"}

---

Entry 3:
{"formula": "Pm12Hg6Rh", "functional": "PBE", "state": "relaxed", "lattice": [[6.165, 3.559, 4.497], [-6.165, 3.559, 4.497], [0.000, -7.118, 4.497]], "species": ["Pm", "Pm", "Pm", "Pm", "Pm", "Pm", "Pm", "Pm", "Pm", "Pm", "Pm", "Pm", "Hg", "Hg", "Hg", "Hg", "Hg", "Hg", "Rh"], "fractional_positions": [[0.042, 0.700, 0.926], [0.074, 0.958, 0.300], [0.184, 0.534, 0.412], [0.300, 0.074, 0.958], [0.412, 0.184, 0.534], [0.466, 0.588, 0.816], [0.534, 0.412, 0.184], [0.588, 0.816, 0.466], [0.700, 0.926, 0.042], [0.816, 0.466, 0.588], [0.926, 0.042, 0.700], [0.958, 0.300, 0.074], [0.150, 0.358, 0.763], [0.237, 0.850, 0.642], [0.358, 0.763, 0.150], [0.642, 0.237, 0.850], [0.763, 0.150, 0.358], [0.850, 0.642, 0.237], [0.500, 0.500, 0.500]], "magmom_total_mub_per_cell": 0.00, "vol_a3_per_atom": 31.161, "total_energy_ev_per_cell": -71.29, "spacegroup": "No. 148"}

---

Entry 4:
{"formula": "Sr2LaI", "functional": "PBE", "state": "relaxed", "lattice": [[2.004, 1.157, 12.673], [-2.004, 1.157, 12.673], [0.000, -2.315, 12.673]], "species": ["Sr", "Sr", "La", "I"], "fractional_positions": [[0.099, 0.099, 0.099], [0.901, 0.901, 0.901], [0.000, 0.000, 0.000], [0.500, 0.500, 0.500]], "magmom_total_mub_per_cell": 0.01, "vol_a3_per_atom": 44.095, "raw_formation_energy_ev_per_atom": -0.297, "relative_energy_mev_per_atom": 178.6, "spacegroup": "No. 166"}

---

Entry 5:
{"formula": "YBeSn", "functional": "PBE", "state": "relaxed", "lattice": [[4.184, 0.000, 0.000], [-2.092, 3.624, 0.000], [0.000, 0.000, 4.191]], "species": ["Y", "Be", "Sn"], "fractional_positions": [[0.000, 0.000, 0.000], [0.333, 0.667, 0.499], [0.667, 0.333, 0.500]], "magmom_total_mub_per_cell": 0.00, "vol_a3_per_atom": 21.185, "total_energy_ev_per_cell": -15.60, "spacegroup": "No. 156"}

---

Entry 6:
{"formula": "RbBeSe2", "functional": "PBE", "state": "relaxed", "lattice": [[-3.023, 3.023, 6.427], [3.023, -3.023, 6.427], [3.023, 3.023, -6.427]], "species": ["Rb", "Rb", "Be", "Be", "Se", "Se", "Se", "Se"], "fractional_positions": [[0.375, 0.625, 0.750], [0.625, 0.375, 0.250], [0.125, 0.875, 0.250], [0.875, 0.125, 0.750], [0.000, 0.000, 0.000], [0.000, 0.000, 0.500], [0.000, 0.500, 0.000], [0.500, 0.000, 0.500]], "magmom_total_mub_per_cell": 0.00, "vol_a3_per_atom": 29.374, "raw_formation_energy_ev_per_atom": -0.694, "spacegroup": "No. 141"}